The following is a DFT calculation (PBE with a Hubbard U) of P2WNO after structural relaxation.

Calculated values
**Size of the total moment**: 1.359 μB per formula unit
**Polymorph energy (0 for the lowest one)**: 0 meV per atom

a b c (Å): 3.907 3.907 3.916
angles (deg): 90.00 90.00 90.00
Fractional positions:
1 P 0.000 0.500 0.000
2 P 0.500 0.000 0.000
3 W 0.000 0.000 0.500
4 N 0.500 0.500 0.000
5 O 0.500 0.500 0.500